The following is a DFT calculation (PBEsol) of a geometry-optimized SrZn2 structure.

Results
As for the symmetry: C2/m (12). For the formation energy, the calculation gives -0.126 eV per atom.

a b c (Å): 4.007 6.210 6.879
angles (deg): 116.72 106.93 90.00
Fractional positions:
Sr 0.672 0.672 0.343
Sr 0.328 0.328 0.657
Zn 0.391 0.891 0.783
Zn 0.000 0.785 0.999
Zn 0.000 0.215 0.001
Zn 0.609 0.109 0.217

***

The following is a DFT calculation (PBEsol) of a geometry-optimized SrZn13 structure.

Results
As for the symmetry: Fm-3c (226). For the formation energy, the calculation gives -0.187 eV per atom.

a b c (Å): 8.506 8.506 8.506
angles (deg): 60.00 60.00 60.00
Fractional positions:
Sr 0.750 0.750 0.750
Sr 0.250 0.250 0.250
Zn 0.200 0.559 0.800
Zn 0.300 0.700 0.941
Zn 0.200 0.800 0.441
Zn 0.200 0.441 0.559
Zn 0.559 0.441 0.800
Zn 0.300 0.941 0.059
Zn 0.800 0.200 0.559
Zn 0.059 0.300 0.941
Zn 0.559 0.800 0.200
Zn 0.300 0.059 0.700
Zn 0.700 0.941 0.300
Zn 0.059 0.700 0.300
Zn 0.941 0.059 0.300
Zn 0.800 0.559 0.441
Zn 0.559 0.200 0.441
Zn 0.059 0.941 0.700
Zn 0.941 0.300 0.700
Zn 0.441 0.200 0.800
Zn 0.700 0.059 0.941
Zn 0.441 0.800 0.559
Zn 0.941 0.700 0.059
Zn 0.441 0.559 0.200
Zn 0.700 0.300 0.059
Zn 0.800 0.441 0.200
Zn 0.000 0.000 0.000
Zn 0.500 0.500 0.500

***

The following is a DFT calculation (PBEsol) of a geometry-optimized SrZn2 structure.

Results
As for the symmetry: Fd-3m (227). For the formation energy, the calculation gives -0.157 eV per atom.

a b c (Å): 5.674 5.674 5.674
angles (deg): 60.00 60.00 60.00
Fractional positions:
Sr 0.500 0.500 0.500
Sr 0.750 0.750 0.750
Zn 0.125 0.125 0.125
Zn 0.125 0.125 0.625
Zn 0.125 0.625 0.125
Zn 0.625 0.125 0.125

***

The following is a DFT calculation (PBEsol) of a geometry-optimized Sr5Zn3 structure.

Results
As for the symmetry: I4/mcm (140). For the formation energy, the calculation gives -0.053 eV per atom.

a b c (Å): 6.803 9.598 9.598
angles (deg): 82.79 69.24 69.24
Fractional positions:
Sr 0.750 0.500 0.500
Sr 0.250 0.500 0.500
Sr 0.419 0.871 0.291
Sr 0.581 0.129 0.709
Sr 0.919 0.291 0.871
Sr 0.081 0.709 0.129
Sr 0.210 0.871 0.709
Sr 0.790 0.129 0.291
Sr 0.290 0.291 0.129
Sr 0.710 0.709 0.871
Zn 0.750 0.000 0.000
Zn 0.250 0.000 0.000
Zn 0.341 0.500 0.817
Zn 0.659 0.500 0.183
Zn 0.841 0.817 0.500
Zn 0.159 0.183 0.500